1.
Entry from Alexandria via LeMat-Bulk: a relaxed structure of BaMgCuF7 (GGA-PBEsol).

Results
The value obtained for the uncorrected formation energy is -2.80 eV/atom. The total magnetic moment comes out at 8.0 Bohr magnetons per cell. As for the calculated total energy: -49.7 eV per formula unit.

Lattice parameters (Å, degrees): 5.4748 9.7589 9.4910 90.00 92.97 90.00
With the nearest neighbours (Å) after each atom.
Space group P2_1/c (No. 14)
Symmetry-distinct sites (fractional):
Ba 0.2366 0.1802 0.4986  5 F 2.57-2.86
Mg 0.1980 0.6024 0.3105  6 F 1.89-2.09
Cu 0.3059 0.6156 0.6869  6 F 1.86-1.94
F 0.0269 0.7136 0.7509  1 Cu 1.93, 1 Mg 2.09
F 0.1190 0.5416 0.1246  1 Mg 1.89
F 0.1330 0.0458 0.1302  1 Cu 1.90, 1 Mg 2.00
F 0.2392 0.6921 0.5022  1 Cu 1.92, 1 Mg 2.02
F 0.3858 0.5452 0.8656  1 Cu 1.86
F 0.3901 0.0558 0.8773  1 Cu 1.89, 1 Mg 1.95
F 0.4797 0.7202 0.2478  1 Cu 1.94, 1 Mg 2.04

***

2.
Entry from Alexandria via LeMat-Bulk: a relaxed structure of MgTa2Ni (GGA-PBEsol).

Results
The total magnetic moment comes out at 0.0 Bohr magnetons per cell. As for the calculated total energy: -32.3 eV per formula unit. Its formation energy is 162 meV/atom.

Lattice parameters (Å, degrees): 2.9052 4.7974 9.1638 90.00 90.00 90.00
With the nearest neighbours (Å) after each atom.
Space group Imm2 (No. 44)
Symmetry-distinct sites (fractional):
Mg 0.0000 0.0000 0.0000  2 Ni 2.55, 4 Ta 2.84
Ta 0.0000 0.0000 0.4495  2 Ni 2.49
Ta 0.0000 0.5000 0.2104  4 Ta 2.80-2.91, 4 Ni 2.81, 4 Mg 3.03-3.08
Ni 0.0000 0.5000 0.7290  2 Ta 2.49, 2 Mg 2.55

***

3.
Entry from Alexandria via LeMat-Bulk: a relaxed structure of Ti2Ga2Au (GGA-PBEsol).

Results
The total magnetic moment comes out at 0.0 Bohr magnetons per cell. As for the calculated total energy: -29.6 eV per formula unit. Its formation energy is -480 meV/atom.

Lattice parameters (Å, degrees): 6.4341 6.4341 3.8458 90.00 90.00 90.00
With the nearest neighbours (Å) after each atom.
Space group P4/mbm (No. 127)
Symmetry-distinct sites (fractional):
Ti 0.1632 0.3368 0.0000  6 Ga 2.66-2.72, 1 Ti 2.97
Ga 0.1345 0.6345 0.5000  1 Ga 2.45, 2 Au 2.51, 6 Ti 2.66-2.72
Au 0.0000 0.0000 0.5000  4 Ga 2.51

***

4.
Entry from Alexandria via LeMat-Bulk: a relaxed structure of BaGeI3 (GGA-PBEsol).

Results
The value obtained for the uncorrected formation energy is -0.27 eV/atom. As for the offset from the most stable computed form: 2.27 eV/f.u. The total magnetic moment comes out at 1.0 Bohr magnetons per cell. As for the calculated total energy: -13.7 eV per formula unit.

Lattice parameters (Å, degrees): 6.5358 6.5358 6.5358 90.00 90.00 90.00
With the nearest neighbours (Å) after each atom.
Space group Pm-3m (No. 221)
Symmetry-distinct sites (fractional):
Ba 0.0000 0.0000 0.0000  6 I 3.27
Ge 0.5000 0.5000 0.5000  12 I 4.62
I 0.0000 0.0000 0.5000  2 Ba 3.27

***

5.
Entry from Alexandria via LeMat-Bulk: a relaxed structure of KScGaGe2 (GGA-PBEsol).

Results
The total magnetic moment comes out at 0.0 Bohr magnetons per cell. As for the calculated total energy: -20.2 eV per formula unit. Its formation energy is 148 meV/atom.

Lattice parameters (Å, degrees): 5.1356 5.1356 5.3028 90.00 90.00 90.00
With the nearest neighbours (Å) after each atom.
Space group P4/mmm (No. 123)
Symmetry-distinct sites (fractional):
K 0.0000 0.0000 0.0000  4 Ga 3.63, 8 Ge 3.69
Sc 0.5000 0.5000 0.5000  4 Ge 2.57, 2 Ga 2.65
Ga 0.5000 0.5000 0.0000  2 Sc 2.65
Ge 0.0000 0.5000 0.5000  2 Sc 2.57

***

6.
Entry from Alexandria via LeMat-Bulk: a relaxed structure of FeNiTe2 (GGA-PBEsol).

Results
The value obtained for the uncorrected formation energy is 0.04 eV/atom. As for the offset from the most stable computed form: 0.00 eV/f.u. The total magnetic moment comes out at 4.6 Bohr magnetons per cell. As for the calculated total energy: -22.0 eV per formula unit.

Lattice parameters (Å, degrees): 4.4574 4.9997 6.8395 90.00 90.00 90.00
With the nearest neighbours (Å) after each atom.
Space group Amm2 (No. 38)
Symmetry-distinct sites (fractional):
Fe 0.0000 0.0000 0.0000  5 Te 2.56-2.64, 2 Ni 2.56
Ni 0.5000 0.0000 0.8159  5 Te 2.56-2.64, 2 Fe 2.56
Te 0.0000 0.0000 0.6261  3 Fe 2.56-2.64, 2 Ni 2.58
Te 0.5000 0.0000 0.1899  3 Ni 2.56-2.64, 2 Fe 2.58

***

7.
Entry from Alexandria via LeMat-Bulk: a relaxed structure of Y3C4 (GGA-PBEsol).

Results
The total magnetic moment comes out at 0.0 Bohr magnetons per cell. As for the calculated total energy: -61.6 eV per formula unit. Its formation energy is -369 meV/atom.

Lattice parameters (Å, degrees): 8.0199 8.0199 15.8557 90.00 90.00 90.00
With the nearest neighbours (Å) after each atom.
Space group P4/mnc (No. 128)
Symmetry-distinct sites (fractional):
Y 0.0000 0.0000 0.0000  6 C 2.49-2.58
Y 0.0000 0.0000 0.3126  6 C 2.32-2.59
Y 0.0960 0.2971 0.5000  7 C 2.47-2.73
Y 0.1001 0.7108 0.1473  5 C 2.34-2.62
C 0.0000 0.0000 0.1571  6 Y 2.46-2.49
C 0.0000 0.0000 0.4588  1 C 1.30
C 0.0981 0.3062 0.3278  1 C 1.35
C 0.1057 0.6962 0.0000  6 Y 2.34-2.60
C 0.1507 0.3493 0.2500  2 C 1.35

***

8.
Entry from Alexandria via LeMat-Bulk: a relaxed structure of La4ZrSb (GGA-PBEsol).

Results
The value obtained for the uncorrected formation energy is 0.22 eV/atom. The total magnetic moment comes out at 0.1 Bohr magnetons per cell. As for the calculated total energy: -33.7 eV per formula unit.

Lattice parameters (Å, degrees): 8.9126 8.9126 8.9126 90.00 90.00 90.00
With the nearest neighbours (Å) after each atom.
Space group F-43m (No. 216)
Symmetry-distinct sites (fractional):
La 0.1242 0.1242 0.1242  6 La 3.13-3.17
Zr 0.2500 0.2500 0.7500  12 La 3.69, 4 Sb 3.86
Sb 0.0000 0.0000 0.5000  12 La 3.70, 4 Zr 3.86

***

- What is the formula in the third record?
  Ti2Ga2Au